{
  "formula": "LiCuSCl2",
  "functional": "PBE-GGA",
  "state": "optimized geometry",
  "lattice": [[4.610, 0.000, 0.000], [0.000, 4.610, 0.000], [0.000, 0.000, 4.575]],
  "species": ["S", "Li", "Cu", "Cl", "Cl"],
  "fractional_positions": [[0.000, 0.000, 0.500], [0.000, 0.000, 0.000], [0.500, 0.500, 0.500], [0.000, 0.500, 0.000], [0.500, 0.000, 0.000]],
  "n_ef_per_ev_cell": 5.4,
  "polymorph_energy_mev_per_atom": 504.0,
  "raw_formation_energy_ev_per_atom": 0.108
}

{
  "formula": "LiCuS2Cl",
  "functional": "PBE-GGA",
  "state": "optimized geometry",
  "lattice": [[-3.238, -0.017, 2.882], [1.184, -3.959, 1.307], [3.702, 2.484, 4.174]],
  "species": ["S", "S", "Li", "Cu", "Cl"],
  "fractional_positions": [[0.000, 0.500, 0.000], [0.500, 0.000, 0.000], [0.500, 0.500, 0.500], [0.000, 0.000, 0.000], [0.000, 0.000, 0.500]],
  "n_ef_per_ev_cell": 6.2,
  "polymorph_energy_mev_per_atom": 0.0,
  "raw_formation_energy_ev_per_atom": -0.116
}

{
  "formula": "LiCuSbCl5",
  "functional": "PBE-GGA",
  "state": "optimized geometry",
  "lattice": [[-5.338, 3.920, 0.690], [-1.572, -5.277, 3.745], [8.579, 5.085, 4.730]],
  "species": ["Li", "Li", "Cu", "Cu", "Sb", "Sb", "Cl", "Cl", "Cl", "Cl", "Cl", "Cl", "Cl", "Cl", "Cl", "Cl"],
  "fractional_positions": [[0.000, 0.000, 0.500], [0.000, 0.000, 0.000], [0.672, 0.328, 0.250], [0.328, 0.672, 0.750], [0.373, 0.627, 0.250], [0.627, 0.373, 0.750], [0.134, 0.866, 0.250], [0.866, 0.134, 0.750], [0.983, 0.313, 0.181], [0.017, 0.687, 0.819], [0.687, 0.017, 0.319], [0.313, 0.983, 0.681], [0.733, 0.609, 0.451], [0.267, 0.391, 0.549], [0.391, 0.267, 0.049], [0.609, 0.733, 0.951]],
  "raw_formation_energy_ev_per_atom": -0.871
}